(1)
Nd4AlPb, relaxed, DFT PBE; energy of formation from the pure elements = -0.156 eV/atom
1.0
5.297 0.000 0.000
0.000 7.447 0.000
0.000 0.000 5.294
Nd Al Pb
4 1 1
direct
0.000 0.233 0.500 Nd
0.500 0.233 0.000 Nd
0.000 0.767 0.500 Nd
0.500 0.767 0.000 Nd
0.000 0.000 0.000 Al
0.500 0.500 0.500 Pb

---

(2)
SrCo4Au, relaxed, DFT PBE; energy of formation from the pure elements = 0.239 eV/atom
1.0
-2.745 -3.363 -2.640
-4.111 -2.127 2.095
-4.635 1.251 -1.664
Co Au Sr
4 1 1
direct
0.879 0.374 0.374 Co
0.374 0.374 0.374 Co
0.374 0.879 0.374 Co
0.374 0.374 0.879 Co
0.000 0.000 0.000 Au
0.750 0.750 0.750 Sr

---

(3)
Ti3Nb2Ga, relaxed, DFT PBE; energy of formation from the pure elements = -0.142 eV/atom
1.0
-3.023 2.290 2.579
-1.437 -2.385 -3.644
-0.669 -4.489 3.201
Nb Ti Ga
2 3 1
direct
0.667 0.333 0.303 Nb
0.333 0.667 0.697 Nb
0.333 0.667 0.202 Ti
0.667 0.333 0.798 Ti
0.000 0.000 0.500 Ti
0.000 0.000 0.000 Ga

---

(4)
Nd3Ga2BRh3, relaxed, DFT PBE; energy of formation from the pure elements = -0.522 eV/atom
1.0
-0.374 -3.648 0.072
1.306 -0.279 -7.295
5.635 -0.483 4.797
Rh Ga Nd B
3 2 3 1
direct
0.500 0.785 0.000 Rh
0.500 0.215 0.215 Rh
0.500 0.000 0.785 Rh
0.500 0.667 0.333 Ga
0.500 0.333 0.667 Ga
0.000 0.373 0.000 Nd
0.000 0.000 0.373 Nd
0.000 0.627 0.627 Nd
0.000 0.000 0.000 B